Density functional theory data (GGA-PBE) for a geometry-optimized CuHgP4 structure.

## Properties
Uncorrected energy = -3.767 eV per atom
ΔH_f (0 K) = 3.435 eV per formula unit
Magnetic moment = 0.00 μB/cell
D(E_F) = 0.584 states/eV per atom

Cell and atoms, written as CIF:
```
data_CuHgP4
_chemical_formula_sum 'Cu4 Hg4 P16'
_symmetry_space_group_name_H-M 'F -4 3 m'
_symmetry_Int_Tables_number 216
_symmetry_space_group_name_Hall 'F -4 2 3'
_cell_length_a 8.367
_cell_length_b 8.367
_cell_length_c 8.367
_cell_angle_alpha 90.00
_cell_angle_beta 90.00
_cell_angle_gamma 90.00
loop_
_atom_site_label
_atom_site_type_symbol
_atom_site_fract_x
_atom_site_fract_y
_atom_site_fract_z
_atom_site_occupancy
Cu1 Cu 0.000 0.000 0.000 1
Hg1 Hg 0.250 0.250 0.250 1
P1 P 0.157 0.157 0.657 1
```

=====

Density functional theory data (GGA-PBE) for a geometry-optimized CuHg2P structure.

## Properties
Uncorrected energy = -2.300 eV per atom
ΔH_f (0 K) = 0.908 eV per formula unit
Magnetic moment = 0.00 μB/cell
D(E_F) = 0.407 states/eV per atom

Cell and atoms, written as CIF:
```
data_CuHg2P
_chemical_formula_sum 'Cu1 Hg2 P1'
_symmetry_space_group_name_H-M 'P 4 m m'
_symmetry_Int_Tables_number 99
_cell_length_a 2.977
_cell_length_b 2.977
_cell_length_c 9.721
_cell_angle_alpha 90.00
_cell_angle_beta 90.00
_cell_angle_gamma 90.00
loop_
_symmetry_equiv_pos_as_xyz
'x,y,z'
'-y,x,z'
'-x,-y,z'
'y,-x,z'
'-x,y,z'
'y,x,z'
'x,-y,z'
'-y,-x,z'
loop_
_atom_site_label
_atom_site_type_symbol
_atom_site_fract_x
_atom_site_fract_y
_atom_site_fract_z
_atom_site_occupancy
Cu1 Cu 0.000 0.000 0.000 1
Hg1 Hg 0.000 0.000 0.569 1
Hg2 Hg 0.500 0.500 0.249 1
P1 P 0.500 0.500 0.885 1
```

=====

Density functional theory data (GGA-PBE) for a geometry-optimized CuHg2P structure.

## Properties
Uncorrected energy = -2.041 eV per atom
ΔH_f (0 K) = 1.945 eV per formula unit
Magnetic moment = 0.00 μB/cell
D(E_F) = 0.272 states/eV per atom

Cell and atoms, written as CIF:
```
data_CuHg2P
_chemical_formula_sum 'Cu2 Hg4 P2'
_symmetry_space_group_name_H-M 'I m m m'
_symmetry_Int_Tables_number 71
_symmetry_space_group_name_Hall '-I 2 2'
_cell_length_a 2.869
_cell_length_b 5.471
_cell_length_c 9.943
_cell_angle_alpha 90.00
_cell_angle_beta 90.00
_cell_angle_gamma 90.00
loop_
_atom_site_label
_atom_site_type_symbol
_atom_site_fract_x
_atom_site_fract_y
_atom_site_fract_z
_atom_site_occupancy
Cu1 Cu 0.000 0.000 0.000 1
Hg1 Hg 0.000 0.500 0.268 1
P1 P 0.000 0.000 0.500 1
```

=====

Density functional theory data (GGA-PBE) for a geometry-optimized CuHg2P structure.

## Properties
Uncorrected energy = -2.080 eV per atom
ΔH_f (0 K) = 1.791 eV per formula unit
Magnetic moment = 0.00 μB/cell
D(E_F) = 0.340 states/eV per atom

Cell and atoms, written as CIF:
```
data_CuHg2P
_chemical_formula_sum 'Cu1 Hg2 P1'
_symmetry_space_group_name_H-M 'P 4/m m m'
_symmetry_Int_Tables_number 123
_symmetry_space_group_name_Hall '-P 4 2'
_cell_length_a 3.773
_cell_length_b 3.773
_cell_length_c 5.401
_cell_angle_alpha 90.00
_cell_angle_beta 90.00
_cell_angle_gamma 90.00
loop_
_atom_site_label
_atom_site_type_symbol
_atom_site_fract_x
_atom_site_fract_y
_atom_site_fract_z
_atom_site_occupancy
Cu1 Cu 0.000 0.000 0.000 1
Hg1 Hg 0.500 0.500 0.248 1
P1 P 0.000 0.000 0.500 1
```

=====

no.,V (Å³/cell)
1,585.7
2,86.1
3,156.0
4,76.9